1.
Entry from the Alexandria database: a geometry-optimized EuSc2Al structure (PBE).

Cell lengths 4.6402, 4.6402, 4.5374 Å; angles 90.00, 90.00, 90.00 degrees
Positions (direct):
Eu  0.0000  0.0000  0.0000
Sc  0.0000  0.5000  0.5000
Sc  0.5000  0.0000  0.5000
Al  0.5000  0.5000  0.0000

Values from the calculation:
- DFT formation energy (kcal/mol of atoms) = -1.794
- relative energy among the computed polymorphs (eV per atom) = 0.052

=====

2.
Entry from the Alexandria database: a geometry-optimized YZnSbI2 structure (PBE).

Cell lengths 6.0055, 6.0055, 6.2002 Å; angles 90.00, 90.00, 90.00 degrees
Positions (direct):
Y  0.0000  0.0000  0.0000
Zn  0.5000  0.5000  0.5000
Sb  0.0000  0.0000  0.5000
I  0.0000  0.5000  0.0000
I  0.5000  0.0000  0.0000

Values from the calculation:
- relative energy among the computed polymorphs (eV per atom) = 0.000

=====

3.
Entry from the Alexandria database: a geometry-optimized Y2TiInO structure (PBE).

Cell lengths 4.9126, 4.9126, 4.1240 Å; angles 90.00, 90.00, 90.00 degrees
Positions (direct):
Y  0.0000  0.5000  0.0000
Y  0.5000  0.0000  0.0000
Ti  0.0000  0.0000  0.5000
In  0.5000  0.5000  0.5000
O  0.0000  0.0000  0.0000

=====

What are the uncorrected energy values for these records? In order: -6.75, -3.25, -7.01 eV/atom.